This record from Alexandria via LeMat-Bulk describes an optimized crystal structure of LiTl2Re. The functional is PBE.

The formation energy comes out at 0.546 eV/atom.

It has space group R-3m (No. 166, hexagonal axes), with a = 3.1317 Å, b = 3.1317 Å, c = 27.8804 Å, α = 90.00°, β = 90.00° and γ = 120.00°. The inequivalent atoms are Li at (0.0000, 0.0000, 0.0000), Tl at (0.0000, 0.0000, 0.2501) and Re at (0.0000, 0.0000, 0.5000).

This record from Alexandria via LeMat-Bulk describes an optimized crystal structure of Li2TlRe. The functional is PBE.

For the distance to the lowest polymorph of the same formula, the calculation gives 323.5 meV per atom. The formation energy comes out at 0.672 eV/atom.

It has space group Fm-3m (No. 225), with a = 6.2876 Å, b = 6.2876 Å, c = 6.2876 Å, α = 90.00°, β = 90.00° and γ = 90.00°. The inequivalent atoms are Li at (0.2500, 0.2500, 0.2500), Tl at (0.0000, 0.0000, 0.0000) and Re at (0.0000, 0.0000, 0.5000).

This record from Alexandria via LeMat-Bulk describes an optimized crystal structure of Li2TlRe. The functional is PBE.

For the distance to the lowest polymorph of the same formula, the calculation gives 171.7 meV per atom. The formation energy comes out at 0.520 eV/atom.

It has space group Pmm2 (No. 25), with a = 2.7769 Å, b = 4.3503 Å, c = 5.6763 Å, α = 90.00°, β = 90.00° and γ = 90.00°. The inequivalent atoms are Li at (0.0000, 0.0000, 0.0000), Li at (0.5000, 0.5000, 0.2496), Tl at (0.5000, 0.5000, 0.7320) and Re at (0.0000, 0.0000, 0.4814).

This record from Alexandria via LeMat-Bulk describes an optimized crystal structure of Li2TlRe. The functional is PBE.

For the distance to the lowest polymorph of the same formula, the calculation gives 3.3 meV per atom. The formation energy comes out at 0.351 eV/atom.

It has space group Cmmm (No. 65), with a = 3.3467 Å, b = 4.4053 Å, c = 9.4204 Å, α = 90.00°, β = 90.00° and γ = 90.00°. The inequivalent atoms are Li at (0.0000, 0.0000, 0.2273), Tl at (0.0000, 0.5000, 0.5000) and Re at (0.0000, 0.5000, 0.0000).

This record from Alexandria via LeMat-Bulk describes an optimized crystal structure of LiTl2Re. The functional is PBE.

The formation energy comes out at 0.592 eV/atom.

It has space group Cm (No. 8), with a = 10.6145 Å, b = 3.2101 Å, c = 4.7518 Å, α = 90.00°, β = 106.26° and γ = 90.00°. The inequivalent atoms are Li at (0.0000, 0.0000, 0.0000), Tl at (0.2355, 0.0000, 0.8519), Tl at (0.4730, 0.0000, 0.4499) and Re at (0.2351, 0.5000, 0.3550).

This record from Alexandria via LeMat-Bulk describes an optimized crystal structure of Li2TlRe. The functional is PBE.

For the distance to the lowest polymorph of the same formula, the calculation gives 145.1 meV per atom. The formation energy comes out at 0.493 eV/atom.

It has space group Pm (No. 6), with a = 2.7699 Å, b = 4.5851 Å, c = 5.4019 Å, α = 90.00°, β = 100.31° and γ = 90.00°. The inequivalent atoms are Li at (0.0000, 0.0000, 0.0000), Li at (0.1743, 0.5000, 0.7806), Tl at (0.3630, 0.0000, 0.4913) and Re at (0.7082, 0.5000, 0.2584).

This record from Alexandria via LeMat-Bulk describes an optimized crystal structure of LiTl2Re. The functional is PBE.

The formation energy comes out at 0.711 eV/atom.

It has space group P4mm (No. 99), with a = 3.7322 Å, b = 3.7322 Å, c = 5.7692 Å, α = 90.00°, β = 90.00° and γ = 90.00°. The inequivalent atoms are Li at (0.0000, 0.0000, 0.0000), Tl at (0.0000, 0.0000, 0.4393), Tl at (0.5000, 0.5000, 0.7849) and Re at (0.5000, 0.5000, 0.2671).

This record from Alexandria via LeMat-Bulk describes an optimized crystal structure of Li2TlRe. The functional is PBE.

For the distance to the lowest polymorph of the same formula, the calculation gives 157.2 meV per atom. The formation energy comes out at 0.505 eV/atom.

It has space group Imm2 (No. 44), with a = 2.8491 Å, b = 4.6684 Å, c = 9.3331 Å, α = 90.00°, β = 90.00° and γ = 90.00°. The inequivalent atoms are Li at (0.0000, 0.0000, 0.0000), Li at (0.0000, 0.5000, 0.2768), Tl at (0.0000, 0.5000, 0.7428) and Re at (0.0000, 0.0000, 0.5213).